Below is an optimized crystal structure of PrPBr, with properties calculated at the PBE level.

```
data_PrPBr
_chemical_formula_sum 'Pr4 P4 Br4'
_cell_length_a 7.665
_cell_length_b 4.895
_cell_length_c 11.401
_cell_angle_alpha 90.00
_cell_angle_beta 107.86
_cell_angle_gamma 90.00
_symmetry_space_group_name_H-M 'C 1 2/m 1'
_symmetry_Int_Tables_number 12
loop_
_symmetry_equiv_pos_as_xyz
'x,y,z'
'-x,-y,-z'
'-x,y,-z'
'x,-y,z'
'x+1/2,y+1/2,z'
'-x+1/2,-y+1/2,-z'
'-x+1/2,y+1/2,-z'
'x+1/2,-y+1/2,z'
loop_
_atom_site_label
_atom_site_type_symbol
_atom_site_fract_x
_atom_site_fract_y
_atom_site_fract_z
Pr1 Pr 0.166 0.000 0.329
P1 P 0.062 0.500 0.425
Br1 Br 0.249 0.500 0.172
```

As for the total magnetic moment: 0.00 μB per formula unit. The value obtained for the total energy is -5.35 eV per atom. Its energy relative to the elements, uncorrected is -1.3997 eV per atom.

---

Below is an optimized crystal structure of Pr6P3Br2, with properties calculated at the PBE level.

```
data_Pr6P3Br2
_chemical_formula_sum 'Pr12 P6 Br4'
_cell_length_a 7.265
_cell_length_b 12.554
_cell_length_c 7.493
_cell_angle_alpha 90.00
_cell_angle_beta 108.94
_cell_angle_gamma 90.00
_symmetry_space_group_name_H-M 'C 1 2/m 1'
_symmetry_Int_Tables_number 12
loop_
_symmetry_equiv_pos_as_xyz
'x,y,z'
'-x,-y,-z'
'-x,y,-z'
'x,-y,z'
'x+1/2,y+1/2,z'
'-x+1/2,-y+1/2,-z'
'-x+1/2,y+1/2,-z'
'x+1/2,-y+1/2,z'
loop_
_atom_site_label
_atom_site_type_symbol
_atom_site_fract_x
_atom_site_fract_y
_atom_site_fract_z
Pr1 Pr 0.234 0.000 0.214
Pr2 Pr 0.243 0.336 0.220
P1 P 0.000 0.170 0.000
P2 P 0.000 0.500 0.000
Br1 Br 0.000 0.335 0.500
```

As for the total magnetic moment: 0.00 μB per formula unit. The value obtained for the total energy is -5.75 eV per atom. Its energy relative to the elements, uncorrected is -1.3613 eV per atom.

---

Below is an optimized crystal structure of Pr6P5Br, with properties calculated at the PBE level.

```
data_Pr6P5Br
_chemical_formula_sum 'Pr12 P10 Br2'
_cell_length_a 7.334
_cell_length_b 12.675
_cell_length_c 7.302
_cell_angle_alpha 90.00
_cell_angle_beta 109.58
_cell_angle_gamma 90.00
_symmetry_space_group_name_H-M 'C 1 2/m 1'
_symmetry_Int_Tables_number 12
loop_
_symmetry_equiv_pos_as_xyz
'x,y,z'
'-x,-y,-z'
'-x,y,-z'
'x,-y,z'
'x+1/2,y+1/2,z'
'-x+1/2,-y+1/2,-z'
'-x+1/2,y+1/2,-z'
'x+1/2,-y+1/2,z'
loop_
_atom_site_label
_atom_site_type_symbol
_atom_site_fract_x
_atom_site_fract_y
_atom_site_fract_z
Pr1 Pr 0.235 0.000 0.261
Pr2 Pr 0.237 0.176 0.741
P1 P 0.000 0.000 0.500
P2 P 0.000 0.167 0.000
P3 P 0.000 0.338 0.500
Br1 Br 0.000 0.500 0.000
```

As for the total magnetic moment: 0.00 μB per formula unit. The value obtained for the total energy is -6.34 eV per atom. Its energy relative to the elements, uncorrected is -1.5577 eV per atom.

---

Below is an optimized crystal structure of Pr4P3Br, with properties calculated at the PBE level.

```
data_Pr4P3Br
_chemical_formula_sum 'Pr8 P6 Br2'
_cell_length_a 8.533
_cell_length_b 11.965
_cell_length_c 4.199
_cell_angle_alpha 90.00
_cell_angle_beta 90.00
_cell_angle_gamma 90.00
_symmetry_space_group_name_H-M 'C m m m'
_symmetry_Int_Tables_number 65
_symmetry_space_group_name_Hall '-C 2 2'
loop_
_atom_site_label
_atom_site_type_symbol
_atom_site_fract_x
_atom_site_fract_y
_atom_site_fract_z
Pr1 Pr 0.000 0.240 0.000
Pr2 Pr 0.227 0.000 0.500
P1 P 0.000 0.000 0.000
P2 P 0.250 0.250 0.500
Br1 Br 0.000 0.500 0.000
```

As for the total magnetic moment: 0.00 μB per formula unit. The value obtained for the total energy is -6.16 eV per atom. Its energy relative to the elements, uncorrected is -1.5349 eV per atom.

---

Below is an optimized crystal structure of Pr7PBr12, with properties calculated at the PBE level.

```
data_Pr7PBr12
_chemical_formula_sum 'Pr21 P3 Br36'
_cell_length_a 15.3315
_cell_length_b 15.3315
_cell_length_c 10.3397
_cell_angle_alpha 90.00
_cell_angle_beta 90.00
_cell_angle_gamma 120.00
_symmetry_space_group_name_H-M 'R -3'
_symmetry_Int_Tables_number 148
_symmetry_space_group_name_Hall '-R 3'
loop_
_atom_site_label
_atom_site_type_symbol
_atom_site_fract_x
_atom_site_fract_y
_atom_site_fract_z
Pr1 Pr 0.0000 0.0000 0.0000
Pr2 Pr 0.0449 0.8790 0.3491
P1 P 0.0000 0.0000 0.5000
Br1 Br 0.0236 0.4371 0.1634
Br2 Br 0.0485 0.8697 0.8378
```

As for the total magnetic moment: 0.00 μB per formula unit. The value obtained for the total energy is -4.70 eV per atom. Its energy relative to the elements, uncorrected is -1.7503 eV per atom.

---

Below is an optimized crystal structure of Pr4P2Br3, with properties calculated at the PBE level.

```
data_Pr4P2Br3
_chemical_formula_sum 'Pr8 P4 Br6'
_cell_length_a 7.269
_cell_length_b 4.197
_cell_length_c 18.146
_cell_angle_alpha 90.00
_cell_angle_beta 90.06
_cell_angle_gamma 90.00
_symmetry_space_group_name_H-M 'C 1 2/m 1'
_symmetry_Int_Tables_number 12
loop_
_symmetry_equiv_pos_as_xyz
'x,y,z'
'-x,-y,-z'
'-x,y,-z'
'x,-y,z'
'x+1/2,y+1/2,z'
'-x+1/2,-y+1/2,-z'
'-x+1/2,y+1/2,-z'
'x+1/2,-y+1/2,z'
loop_
_atom_site_label
_atom_site_type_symbol
_atom_site_fract_x
_atom_site_fract_y
_atom_site_fract_z
Pr1 Pr 0.001 0.000 0.292
Pr2 Pr 0.166 0.500 0.879
P1 P 0.167 0.500 0.204
Br1 Br 0.000 0.000 0.000
Br2 Br 0.166 0.500 0.604
```

As for the total magnetic moment: 0.00 μB per formula unit. The value obtained for the total energy is -5.53 eV per atom. Its energy relative to the elements, uncorrected is -1.6454 eV per atom.